Record 1
A geometry-optimized K3CdAu2 structure. Source: Alexandria, functional PBE-GGA.

Computed properties:
* spin magnetization: 0.00 μB per atom
* polymorph energy (0 for the lowest one): 63 meV per atom
* formation energy: -0.1816 eV per atom
* mass density: 4.93 g/cm³

The structure in POSCAR format:
```
K3CdAu2
1.0
7.6843 0.0000 0.0000
0.0000 7.4021 -0.2674
0.0000 -0.2718 7.4020
K Cd Au
6 2 4
direct
0.2500 0.9260 0.0740
0.7500 0.0740 0.9260
0.2500 0.0515 0.5625
0.7500 0.9485 0.4375
0.2500 0.4375 0.9485
0.7500 0.5625 0.0515
0.2500 0.5424 0.4576
0.7500 0.4576 0.5424
0.0000 0.2801 0.2801
0.5000 0.7199 0.7199
0.0000 0.7199 0.7199
0.5000 0.2801 0.2801
```

Record 2
A geometry-optimized KCdAu2 structure. Source: Alexandria, functional PBE-GGA.

Computed properties:
* spin magnetization: 0.00 μB per atom
* formation energy: -0.1007 eV per atom
* mass density: 9.03 g/cm³

The structure in POSCAR format:
```
KCdAu2
1.0
4.9519 0.0524 -0.0249
4.0587 2.8373 -0.0249
0.7248 0.2324 7.2472
Au Cd K
2 1 1
direct
0.0075 0.0075 0.9384
0.4925 0.4925 0.5616
0.7500 0.7500 0.7500
0.2500 0.2500 0.2500
```

Record 3
A geometry-optimized K2Cd7Au2 structure. Source: Alexandria, functional PBE-GGA.

Computed properties:
* spin magnetization: 0.00 μB per atom
* formation energy: -0.0894 eV per atom
* mass density: 6.65 g/cm³

The structure in POSCAR format:
```
K2Cd7Au2
1.0
-2.0614 2.6134 3.5831
2.4207 -7.4877 3.4843
8.4388 -0.2531 1.6698
K Cd Au
2 7 2
direct
0.5000 0.6878 0.3122
0.5000 0.3122 0.6878
0.7875 0.4591 0.1151
0.2125 0.8849 0.5409
0.2125 0.5409 0.8849
0.7875 0.1151 0.4591
0.7692 0.7696 0.7696
0.0000 0.0000 0.0000
0.2308 0.2304 0.2304
0.6071 0.1067 0.1067
0.3929 0.8933 0.8933
```